Here is a relaxed Rb2MnSO6 crystal from Alexandria. Energies are from PBE with a Hubbard U.

Cell and atoms, written as CIF:
```
data_Rb2MnSO6
_chemical_formula_sum 'Rb2 Mn1 S1 O6'
_cell_length_a 4.864
_cell_length_b 6.171
_cell_length_c 6.171
_cell_angle_alpha 120.00
_cell_angle_beta 90.00
_cell_angle_gamma 90.00
_space_group_name_H-M_alt 'P 1'
_space_group_IT_number 1
_space_group_name_Hall 'P 1'
loop_
_atom_site_label
_atom_site_type_symbol
_atom_site_fract_x
_atom_site_fract_y
_atom_site_fract_z
O1 O 0.213 0.253 0.126
O2 O 0.787 0.126 0.874
O3 O 0.787 0.126 0.253
O4 O 0.213 0.874 0.126
O5 O 0.787 0.747 0.874
O6 O 0.213 0.874 0.747
S1 S 0.000 0.000 0.000
Rb1 Rb 0.215 0.333 0.667
Rb2 Rb 0.785 0.667 0.333
Mn1 Mn 0.500 0.000 0.000
```

Values from the calculation:
The space group is P-3m1 (164). The total energy comes out at -56.41 eV for the cell shown.